Record 1
Computed, not measured: crystalline RbMg14Ga at its relaxed geometry at the PBE level of DFT.

Cell: 6.587 6.587 10.489 Å, 90.00 90.00 120.00°
Atoms (fractional coordinates):
Ga  0.000  0.000  0.500
Mg  0.170  0.830  0.728
Mg  0.660  0.830  0.272
Mg  0.495  0.505  0.000
Mg  0.495  0.989  0.000
Mg  0.011  0.505  0.000
Mg  0.170  0.340  0.728
Mg  0.660  0.830  0.728
Mg  0.170  0.340  0.272
Mg  0.507  0.493  0.500
Rb  0.000  0.000  0.000
Mg  0.507  0.013  0.500
Mg  0.987  0.493  0.500
Mg  0.170  0.830  0.272
Mg  0.667  0.333  0.244
Mg  0.667  0.333  0.756

Values from the calculation:
Energy (eV/atom): -1.52
Space group: P-6m2, No. 187

---

Record 2
Computed, not measured: crystalline Rb3MgGa at its relaxed geometry at the PBE level of DFT.

Cell: 6.871 6.871 6.871 Å, 90.00 90.00 90.00°
Atoms (fractional coordinates):
Mg  0.500  0.500  0.500
Ga  0.000  0.000  0.000
Rb  0.000  0.000  0.500
Rb  0.500  0.000  0.000
Rb  0.000  0.500  0.000

Values from the calculation:
Energy (eV/atom): -1.16
Space group: Pm-3m, No. 221

---

Record 3
Computed, not measured: crystalline RbMgGa at its relaxed geometry at the PBE level of DFT.

Cell: 7.661 8.613 7.661 Å, 73.88 67.93 106.12°
Atoms (fractional coordinates):
Ga  0.409  0.325  0.584
Mg  0.631  0.499  0.118
Ga  0.091  0.675  0.916
Rb  0.862  0.206  0.948
Rb  0.846  0.794  0.344
Rb  0.906  0.294  0.404
Mg  0.132  0.999  0.619
Ga  0.666  0.825  0.841
Mg  0.384  0.501  0.868
Ga  0.334  0.175  0.159
Mg  0.382  0.001  0.866
Rb  0.302  0.706  0.388

Values from the calculation:
Energy (eV/atom): -1.76
Space group: Fdd2, No. 43